VASP calculation (PBE-GGA) on a geometry-optimized Ce4PuAg structure.

```
Ce4PuAg
1.0
4.498 -6.953 0.000
4.498 6.953 0.000
-4.108 0.000 5.344
Ce Pu Ag
8 2 2
direct
0.044 0.628 0.798 Ce
0.164 0.240 0.707 Ce
0.240 0.164 0.207 Ce
0.372 0.956 0.702 Ce
0.628 0.044 0.298 Ce
0.760 0.836 0.793 Ce
0.836 0.760 0.293 Ce
0.956 0.372 0.202 Ce
0.085 0.915 0.750 Pu
0.915 0.085 0.250 Pu
0.371 0.629 0.250 Ag
0.629 0.371 0.750 Ag
```

Values from the calculation:
Energy of formation from the pure elements = 0.0579 eV per atom
Symmetry = No. 15
Total DFT energy (no corrections) = -6.762 eV/atom
Distance to the lowest polymorph of the same formula = 0.26 eV/f.u.
Density of states at the Fermi level = 1.886 states/eV per atom

VASP calculation (PBE-GGA) on a geometry-optimized Ce2PuAg structure.

```
Ce2PuAg
1.0
5.429 0.000 0.000
0.000 5.429 0.000
0.000 0.000 3.320
Ce Pu Ag
2 1 1
direct
0.000 0.500 0.000 Ce
0.500 0.000 0.000 Ce
0.000 0.000 0.500 Pu
0.500 0.500 0.500 Ag
```

Values from the calculation:
Energy of formation from the pure elements = -0.0188 eV per atom
Symmetry = No. 123
Total DFT energy (no corrections) = -7.282 eV/atom
Distance to the lowest polymorph of the same formula = 0.00 eV/f.u.
Density of states at the Fermi level = 2.228 states/eV per atom

VASP calculation (PBE-GGA) on a geometry-optimized CePuAg structure.

```
CePuAg
1.0
5.109 0.000 0.000
-2.554 4.424 0.000
0.000 0.000 2.976
Ce Pu Ag
1 1 1
direct
0.000 0.000 0.000 Ce
0.667 0.333 0.000 Pu
0.333 0.667 0.500 Ag
```

Values from the calculation:
Energy of formation from the pure elements = 0.0682 eV per atom
Symmetry = No. 187
Total DFT energy (no corrections) = -7.638 eV/atom
Distance to the lowest polymorph of the same formula = 0.31 eV/f.u.
Density of states at the Fermi level = 2.589 states/eV per atom

VASP calculation (PBE-GGA) on a geometry-optimized CePuAg structure.

```
CePuAg
1.0
1.892 -7.199 0.000
1.892 7.199 0.000
0.000 0.000 5.257
Ce Pu Ag
2 2 2
direct
0.098 0.902 0.750 Ce
0.902 0.098 0.250 Ce
0.265 0.735 0.250 Pu
0.735 0.265 0.750 Pu
0.415 0.585 0.750 Ag
0.585 0.415 0.250 Ag
```

Values from the calculation:
Energy of formation from the pure elements = -0.0006 eV per atom
Symmetry = No. 63
Total DFT energy (no corrections) = -7.706 eV/atom
Distance to the lowest polymorph of the same formula = 0.10 eV/f.u.
Density of states at the Fermi level = 2.337 states/eV per atom

VASP calculation (PBE-GGA) on a geometry-optimized Ce4PuAg2 structure.

```
Ce4PuAg2
1.0
9.934 -1.591 0.000
9.934 1.591 0.000
-1.083 0.000 5.359
Ce Pu Ag
4 1 2
direct
0.071 0.071 0.052 Ce
0.361 0.361 0.398 Ce
0.639 0.639 0.602 Ce
0.929 0.929 0.948 Ce
0.500 0.500 0.500 Pu
0.281 0.281 0.827 Ag
0.719 0.719 0.173 Ag
```

Values from the calculation:
Energy of formation from the pure elements = 0.0861 eV per atom
Symmetry = No. 12
Total DFT energy (no corrections) = -6.167 eV/atom
Density of states at the Fermi level = 2.613 states/eV per atom

VASP calculation (PBE-GGA) on a geometry-optimized CePu2Ag6 structure.

```
CePu2Ag6
1.0
4.325 2.497 3.050
-4.325 2.497 3.050
0.000 -4.994 3.050
Ce Pu Ag
1 2 6
direct
0.000 0.000 0.000 Ce
0.331 0.331 0.331 Pu
0.669 0.669 0.669 Pu
0.167 0.500 0.833 Ag
0.167 0.833 0.500 Ag
0.500 0.167 0.833 Ag
0.500 0.833 0.167 Ag
0.833 0.167 0.500 Ag
0.833 0.500 0.167 Ag
```

Values from the calculation:
Energy of formation from the pure elements = -0.0778 eV per atom
Symmetry = No. 166
Total DFT energy (no corrections) = -5.823 eV/atom
Density of states at the Fermi level = 2.502 states/eV per atom